18
Lattice="6.6364 0.0000 0.0000 0.0000 7.3196 0.0000 -6.4062 0.0000 9.0962" Properties=species:S:1:pos:R:3 comment="Na2CuCl6 | Alexandria | PBE-GGA | relaxed" formation_energy_uncorrected_mev_per_atom=-858 pbc="T T T"
Na -0.0433 1.4868 1.6229
Na -3.2464 2.1730 6.1710
Na 3.4767 5.1466 2.9252
Na 0.2736 5.8328 7.4733
Cu 3.3182 0.0000 0.0000
Cu 0.1151 3.6598 4.5481
Cl -4.9657 0.9491 8.1763
Cl -1.7626 2.7107 3.6282
Cl 2.1972 5.1868 0.1359
Cl -1.0059 5.7926 4.6840
Cl 0.8371 4.2292 2.4129
Cl -2.3659 6.7502 6.9610
Cl 2.5962 0.5694 2.1352
Cl -0.6069 3.0904 6.6833
Cl 1.2362 1.5270 4.4122
Cl -1.9669 2.1328 8.9603
Cl 1.9929 4.6089 5.4680
Cl 5.1959 6.3705 0.9199